Record 1
The following is a PBE calculation of a relaxed structure of ZrNbBi2Te, from Alexandria.

Unit cell a=5.4357 b=5.2242 c=5.4357 alpha=90.00 beta=90.00 gamma=90.00
Last column: nearest neighbours and their distance in Å.
Positions (direct):
Zr 0.0000 0.5000 0.0000  2 Nb 2.61
Nb 0.0000 0.0000 0.0000  2 Zr 2.61, 4 Bi 2.72
Te 0.5000 0.5000 0.5000  8 Bi 3.77, 4 Zr 3.84
Bi 0.5000 0.0000 0.0000  2 Nb 2.72
Bi 0.0000 0.0000 0.5000  2 Nb 2.72

Values from the calculation:
magnetization = 0.0 μB per cell
ΔE_f (raw) = 0.49 eV/atom

Record 2
The following is a PBE calculation of a relaxed structure of Hg3Bi5O12, from Alexandria.

Unit cell a=12.4534 b=12.4534 c=12.4534 alpha=109.47 beta=109.47 gamma=109.47
Last column: nearest neighbours and their distance in Å.
Positions (direct):
Hg 0.1250 0.2500 0.8750  4 O 2.30
Bi 0.7500 0.1250 0.8750  4 O 2.26
O 0.8565 0.5117 0.3484  2 Bi 2.21-2.26, 1 Hg 2.30
Hg 0.6250 0.3750 0.7500  4 O 2.30
O 0.8484 0.3565 0.5117  2 Bi 2.21-2.26, 1 Hg 2.30
O 0.3366 0.3484 0.4919  2 Bi 2.21-2.26, 1 Hg 2.30
O 0.1634 0.0081 0.1516  2 Bi 2.21-2.26, 1 Hg 2.30
O 0.4919 0.8484 0.3366  2 Bi 2.21-2.26, 1 Hg 2.30
Bi 0.2500 0.8750 0.1250  4 O 2.26
O 0.8448 0.8366 0.9883  2 Bi 2.21-2.26, 1 Hg 2.30
Hg 0.2500 0.6250 0.8750  4 O 2.30
O 0.1435 0.6552 0.9919  2 Bi 2.21-2.26, 1 Hg 2.30
O 0.8366 0.9919 0.8484  2 Bi 2.21-2.26, 1 Hg 2.30
O 0.6552 0.5117 0.6634  2 Bi 2.21-2.26, 1 Hg 2.30
O 0.6435 0.4919 0.1552  2 Bi 2.21-2.26, 1 Hg 2.30
O 0.0117 0.6634 0.1552  2 Bi 2.21-2.26, 1 Hg 2.30
Bi 0.8750 0.6250 0.7500  4 O 2.26
O 0.0117 0.3484 0.3565  2 Bi 2.21-2.26, 1 Hg 2.30
O 0.8366 0.8448 0.4883  2 Bi 2.21-2.26, 1 Hg 2.30
Hg 0.3750 0.6250 0.2500  4 O 2.30
O 0.5081 0.1516 0.6634  2 Bi 2.21-2.26, 1 Hg 2.30
O 0.1516 0.5081 0.1634  2 Bi 2.21-2.26, 1 Hg 2.30
Hg 0.2500 0.1250 0.3750  4 O 2.30
Bi 0.0000 0.5000 0.0000  6 O 2.21
Hg 0.3750 0.7500 0.6250  4 O 2.30
O 0.3448 0.8565 0.5081  2 Bi 2.21-2.26, 1 Hg 2.30
O 0.3484 0.3366 0.9919  2 Bi 2.21-2.26, 1 Hg 2.30
O 0.3484 0.0117 0.8565  2 Bi 2.21-2.26, 1 Hg 2.30
O 0.9919 0.8366 0.3484  2 Bi 2.21-2.26, 1 Hg 2.30
O 0.8448 0.0081 0.3565  2 Bi 2.21-2.26, 1 Hg 2.30
Bi 0.2500 0.3750 0.6250  4 O 2.26
O 0.3448 0.4883 0.3366  2 Bi 2.21-2.26, 1 Hg 2.30
Bi 0.5000 0.5000 0.5000  6 O 2.21
O 0.3366 0.9883 0.3448  2 Bi 2.21-2.26, 1 Hg 2.30
Hg 0.8750 0.1250 0.2500  4 O 2.30
Hg 0.7500 0.8750 0.6250  4 O 2.30
Bi 0.0000 0.0000 0.0000  6 O 2.21
O 0.8484 0.4919 0.8366  2 Bi 2.21-2.26, 1 Hg 2.30
O 0.1516 0.6435 0.4883  2 Bi 2.21-2.26, 1 Hg 2.30
O 0.3565 0.8484 0.0117  2 Bi 2.21-2.26, 1 Hg 2.30
Bi 0.5000 0.0000 0.0000  6 O 2.21
O 0.5117 0.6552 0.1634  2 Bi 2.21-2.26, 1 Hg 2.30
O 0.0081 0.1634 0.6516  2 Bi 2.21-2.26, 1 Hg 2.30
O 0.6634 0.0117 0.6552  2 Bi 2.21-2.26, 1 Hg 2.30
O 0.6634 0.6516 0.5081  2 Bi 2.21-2.26, 1 Hg 2.30
Bi 0.6250 0.7500 0.8750  4 O 2.26
O 0.9919 0.1552 0.1435  2 Bi 2.21-2.26, 1 Hg 2.30
O 0.6552 0.1435 0.4919  2 Bi 2.21-2.26, 1 Hg 2.30
Bi 0.3750 0.2500 0.1250  4 O 2.26
O 0.9883 0.6516 0.6435  2 Bi 2.21-2.26, 1 Hg 2.30
O 0.5081 0.3565 0.3448  2 Bi 2.21-2.26, 1 Hg 2.30
O 0.5117 0.8565 0.8484  2 Bi 2.21-2.26, 1 Hg 2.30
Bi 0.7500 0.6250 0.3750  4 O 2.26
O 0.0081 0.8448 0.8565  2 Bi 2.21-2.26, 1 Hg 2.30
Bi 0.5000 0.0000 0.5000  6 O 2.21
Bi 0.6250 0.8750 0.2500  4 O 2.26
O 0.4919 0.6435 0.6552  2 Bi 2.21-2.26, 1 Hg 2.30
Bi 0.1250 0.7500 0.3750  4 O 2.26
Bi 0.0000 0.5000 0.5000  6 O 2.21
Bi 0.3750 0.1250 0.7500  4 O 2.26
O 0.8565 0.3448 0.0081  2 Bi 2.21-2.26, 1 Hg 2.30
Bi 0.0000 0.0000 0.5000  6 O 2.21
O 0.1435 0.4883 0.6516  2 Bi 2.21-2.26, 1 Hg 2.30
O 0.1552 0.9919 0.6435  2 Bi 2.21-2.26, 1 Hg 2.30
O 0.6435 0.1516 0.9883  2 Bi 2.21-2.26, 1 Hg 2.30
O 0.4883 0.1435 0.1516  2 Bi 2.21-2.26, 1 Hg 2.30
Bi 0.1250 0.3750 0.2500  4 O 2.26
Hg 0.7500 0.3750 0.1250  4 O 2.30
O 0.3565 0.5081 0.8448  2 Bi 2.21-2.26, 1 Hg 2.30
Bi 0.8750 0.2500 0.6250  4 O 2.26
Hg 0.1250 0.8750 0.7500  4 O 2.30
O 0.1552 0.1634 0.0117  2 Bi 2.21-2.26, 1 Hg 2.30
O 0.9883 0.3366 0.8448  2 Bi 2.21-2.26, 1 Hg 2.30
Hg 0.8750 0.7500 0.1250  4 O 2.30
O 0.1634 0.1552 0.5117  2 Bi 2.21-2.26, 1 Hg 2.30
O 0.4883 0.3448 0.8366  2 Bi 2.21-2.26, 1 Hg 2.30
Bi 0.5000 0.5000 0.0000  6 O 2.21
O 0.6516 0.9883 0.1435  2 Bi 2.21-2.26, 1 Hg 2.30
Hg 0.6250 0.2500 0.3750  4 O 2.30
O 0.6516 0.6634 0.0081  2 Bi 2.21-2.26, 1 Hg 2.30

Values from the calculation:
magnetization = 0.0 μB per cell
ΔE_f (raw) = -0.74 eV/atom

Record 3
The following is a PBE calculation of a relaxed structure of Ti4CN2O, from Alexandria.

Unit cell a=3.0252 b=5.2780 c=5.2394 alpha=109.52 beta=90.00 gamma=90.00
Last column: nearest neighbours and their distance in Å.
Positions (direct):
C 0.0000 0.0000 0.0000  6 Ti 2.13
O 0.5000 0.5000 0.0000  6 Ti 2.21
N 0.5000 0.0000 0.5000  6 Ti 2.07-2.08
N 0.0000 0.5000 0.5000  6 Ti 2.15-2.17
Ti 0.0000 0.2314 0.7364  3 N 2.07-2.17, 1 C 2.13, 2 O 2.21
Ti 0.0000 0.7686 0.2636  3 N 2.07-2.17, 1 C 2.13, 2 O 2.21
Ti 0.5000 0.7596 0.7448  3 N 2.08-2.15, 2 C 2.13, 1 O 2.21
Ti 0.5000 0.2404 0.2552  3 N 2.08-2.15, 2 C 2.13, 1 O 2.21

Values from the calculation:
magnetization = 0.0 μB per cell
ΔE_f (raw) = -1.73 eV/atom

Record 4
The following is a PBE calculation of a relaxed structure of Pm3NdAu7, from Alexandria.

Unit cell a=11.5513 b=11.5513 c=12.6880 alpha=90.00 beta=90.00 gamma=160.89
Last column: nearest neighbours and their distance in Å.
Positions (direct):
Au 0.4026 0.5974 0.6342  4 Au 2.94-3.23, 2 Pm 3.14, 2 Nd 3.23
Au 0.2782 0.7218 0.5697  3 Au 2.91-2.95, 5 Pm 3.05-3.10
Pm 0.1443 0.8557 0.9404  9 Au 3.05-3.30
Au 0.6189 0.3811 0.7500  2 Au 2.85, 4 Pm 3.14
Nd 0.9968 0.0032 0.7500  10 Au 3.10-3.38
Pm 0.8557 0.1443 0.0596  9 Au 3.05-3.30
Au 0.2782 0.7218 0.9303  3 Au 2.91-2.95, 5 Pm 3.05-3.10
Au 0.5974 0.4026 0.3658  4 Au 2.94-3.23, 2 Pm 3.14, 2 Nd 3.23
Au 0.5405 0.4595 0.9252  3 Au 2.65-2.95
Au 0.4595 0.5405 0.4252  3 Au 2.65-2.95
Au 0.4595 0.5405 0.0748  3 Au 2.65-2.95
Pm 0.1443 0.8557 0.5596  9 Au 3.05-3.30
Au 0.5405 0.4595 0.5748  3 Au 2.65-2.95
Au 0.7218 0.2782 0.0697  3 Au 2.91-2.95, 5 Pm 3.05-3.10
Au 0.4026 0.5974 0.8658  4 Au 2.94-3.23, 2 Pm 3.14, 2 Nd 3.23
Au 0.5974 0.4026 0.1342  4 Au 2.94-3.23, 2 Pm 3.14, 2 Nd 3.23
Nd 0.0032 0.9968 0.2500  10 Au 3.10-3.38
Au 0.7218 0.2782 0.4303  3 Au 2.91-2.95, 5 Pm 3.05-3.10
Au 0.3811 0.6189 0.2500  2 Au 2.85, 4 Pm 3.14
Pm 0.8145 0.1855 0.7500  8 Au 3.10-3.14
Pm 0.8557 0.1443 0.4404  9 Au 3.05-3.30
Pm 0.1855 0.8145 0.2500  8 Au 3.10-3.14

Values from the calculation:
magnetization = 0.0 μB per cell
formation energy = -713 meV per atom

Record 5
The following is a PBE calculation of a relaxed structure of LaDyTmAg, from Alexandria.

Unit cell a=5.4553 b=5.4553 c=5.4553 alpha=60.00 beta=60.00 gamma=60.00
Last column: nearest neighbours and their distance in Å.
Positions (direct):
La 0.5000 0.5000 0.5000  4 Ag 3.34, 4 Tm 3.34
Tm 0.7500 0.7500 0.7500  4 La 3.34, 4 Dy 3.34
Ag 0.2500 0.2500 0.2500  4 La 3.34, 4 Dy 3.34
Dy 0.0000 0.0000 0.0000  4 Ag 3.34, 4 Tm 3.34

Values from the calculation:
excess energy over the best structure of this formula in the dataset = 180 meV/atom
magnetization = 0.0 μB per cell
formation energy = 52 meV per atom

Record 6
The following is a PBE calculation of a relaxed structure of NbCd3Sn, from Alexandria.

Unit cell a=5.4244 b=5.4244 c=5.4244 alpha=90.00 beta=90.00 gamma=90.00
Last column: nearest neighbours and their distance in Å.
Positions (direct):
Cd 0.0000 0.5000 0.0000  2 Sn 2.71
Sn 0.0000 0.0000 0.0000  6 Cd 2.71
Cd 0.0000 0.0000 0.5000  2 Sn 2.71
Cd 0.5000 0.0000 0.0000  2 Sn 2.71
Nb 0.5000 0.5000 0.5000  12 Cd 3.84

Values from the calculation:
excess energy over the best structure of this formula in the dataset = 237 meV/atom
magnetization = 4.3 μB per cell
formation energy = 1201 meV per atom

Record 7
The following is a PBE calculation of a relaxed structure of Pr6Nd2Th, from Alexandria.

Unit cell a=7.4325 b=12.0729 c=12.0729 alpha=36.38 beta=96.32 gamma=96.32
Last column: nearest neighbours and their distance in Å.
Positions (direct):
Pr 0.9607 0.3488 0.9271  3 Pr 3.18-3.53
Nd 0.7467 0.2599 0.2599  8 Pr 3.67-3.73, 4 Nd 3.72-3.80
Pr 0.9608 0.9271 0.3488  3 Pr 3.18-3.53
Pr 0.5392 0.6512 0.0729  3 Pr 3.18-3.53
Pr 0.0392 0.0729 0.6512  3 Pr 3.18-3.53
Pr 0.4607 0.9271 0.3488  3 Pr 3.18-3.53
Pr 0.6532 0.5571 0.5571  4 Pr 3.13-3.29
Nd 0.2467 0.2599 0.2599  8 Pr 3.67-3.73, 4 Nd 3.72-3.80
Th 0.2500 0.0000 0.0000  2 Th 3.72, 8 Pr 3.72-4.08
Pr 0.5393 0.0729 0.6512  3 Pr 3.18-3.53
Pr 0.1532 0.5571 0.5571  4 Pr 3.13-3.29
Pr 0.4608 0.3488 0.9271  3 Pr 3.18-3.53
Pr 0.8468 0.4429 0.4429  4 Pr 3.13-3.29
Th 0.7500 0.0000 0.0000  2 Th 3.72, 8 Pr 3.72-4.08
Nd 0.7533 0.7401 0.7401  8 Pr 3.67-3.73, 4 Nd 3.72-3.80
Pr 0.0393 0.6512 0.0729  3 Pr 3.18-3.53
Pr 0.3468 0.4429 0.4429  4 Pr 3.13-3.29
Nd 0.2533 0.7401 0.7401  8 Pr 3.67-3.73, 4 Nd 3.72-3.80

Values from the calculation:
excess energy over the best structure of this formula in the dataset = 117 meV/atom
magnetization = 0.0 μB per cell
formation energy = 186 meV per atom

Record 8
The following is a PBE calculation of a relaxed structure of La2CeRu, from Alexandria.

Unit cell a=3.8589 b=6.5297 c=10.0329 alpha=90.00 beta=90.00 gamma=107.22
Last column: nearest neighbours and their distance in Å.
Positions (direct):
Ce 0.9057 0.8106 0.2500  2 Ru 2.54
Ru 0.7275 0.4547 0.7500  2 Ce 2.54
La 0.3579 0.7145 0.5673  3 Ru 3.11-3.35
Ru 0.2725 0.5453 0.2500  2 Ce 2.54
Ce 0.0943 0.1894 0.7500  2 Ru 2.54
La 0.6421 0.2855 0.4327  3 Ru 3.11-3.35
La 0.3579 0.7145 0.9327  3 Ru 3.11-3.35
La 0.6421 0.2855 0.0673  3 Ru 3.11-3.35

Values from the calculation:
excess energy over the best structure of this formula in the dataset = 39 meV/atom
magnetization = 0.0 μB per cell
formation energy = -215 meV per atom

Record 9
The following is a PBE calculation of a relaxed structure of MnTc2Br, from Alexandria.

Unit cell a=5.2410 b=5.2410 c=5.2410 alpha=146.95 beta=129.87 gamma=61.37
Last column: nearest neighbours and their distance in Å.
Positions (direct):
Mn 0.2618 0.7618 0.5000  2 Br 2.63, 6 Tc 2.68-2.83
Tc 0.7401 0.2401 0.5000  2 Br 2.61, 4 Mn 2.68, 2 Tc 2.74
Tc 0.9954 0.9954 0.0000  4 Br 2.68, 4 Tc 2.74-2.98, 2 Mn 2.83
Br 0.5027 0.5027 0.0000  6 Tc 2.61-2.68, 2 Mn 2.63

Values from the calculation:
excess energy over the best structure of this formula in the dataset = 426 meV/atom
magnetization = 2.3 μB per cell
ΔE_f (raw) = 0.73 eV/atom

Record 10
The following is a PBE calculation of a relaxed structure of SiWBr2, from Alexandria.

Unit cell a=3.0635 b=3.0642 c=9.4897 alpha=90.00 beta=90.00 gamma=90.00
Last column: nearest neighbours and their distance in Å.
Positions (direct):
W 0.5000 0.5000 0.7500  8 Br 2.72
Br 0.0000 0.0000 0.9234  4 W 2.72
Si 0.5000 0.5000 0.2500  4 Si 3.06
Br 0.0000 0.0000 0.5766  4 W 2.72

Values from the calculation:
excess energy over the best structure of this formula in the dataset = 876 meV/atom
magnetization = 0.0 μB per cell
ΔE_f (raw) = 1.01 eV/atom

Record 11
The following is a PBE calculation of a relaxed structure of LaCe4Pr3S8, from Alexandria.

Unit cell a=8.1418 b=8.1532 c=8.1428 alpha=119.96 beta=120.00 gamma=90.00
Last column: nearest neighbours and their distance in Å.
Positions (direct):
S 0.2529 0.7568 0.0039  3 Ce 2.85-2.86, 2 Pr 2.90, 1 La 2.91
Pr 0.5000 0.5000 0.0000  6 S 2.90
Pr 0.0000 0.5000 0.5000  6 S 2.90
La 0.0000 0.5000 0.0000  6 S 2.91
Ce 0.0000 0.0000 0.5000  6 S 2.86
S 0.7521 0.7562 0.5041  3 Ce 2.86, 3 Pr 2.90
S 0.7471 0.2432 0.4942  3 Ce 2.85-2.86, 2 Pr 2.90, 1 La 2.91
S 0.2529 0.7568 0.5058  3 Ce 2.85-2.86, 2 Pr 2.90, 1 La 2.91
S 0.7471 0.2432 0.9961  3 Ce 2.85-2.86, 2 Pr 2.90, 1 La 2.91
Ce 0.5000 0.0000 0.0000  6 S 2.85
Pr 0.5000 0.5000 0.5000  6 S 2.90
Ce 0.5000 0.0000 0.5000  6 S 2.86
Ce 0.0000 0.0000 0.0000  6 S 2.86
S 0.2479 0.2438 0.4959  3 Ce 2.86, 3 Pr 2.90
S 0.2490 0.2432 0.9961  3 Ce 2.85-2.86, 2 Pr 2.90, 1 La 2.91
S 0.7510 0.7568 0.0039  3 Ce 2.85-2.86, 2 Pr 2.90, 1 La 2.91

Values from the calculation:
magnetization = 3.1 μB per cell
ΔE_f (raw) = -2.05 eV/atom

Record 12
The following is a PBE calculation of a relaxed structure of Sr2Cr, from Alexandria.

Unit cell a=6.7088 b=6.7088 c=7.6239 alpha=90.00 beta=90.00 gamma=135.12
Last column: nearest neighbours and their distance in Å.
Positions (direct):
Cr 0.1053 0.8947 0.5282  7 Sr 3.45-3.83
Cr 0.8947 0.1053 0.0282  7 Sr 3.45-3.83
Sr 0.2036 0.7964 0.0278  3 Cr 3.49-3.83
Sr 0.5001 0.4999 0.2781  4 Cr 3.45, 2 Sr 3.81
Sr 0.4999 0.5001 0.7781  4 Cr 3.45, 2 Sr 3.81
Sr 0.7964 0.2036 0.5278  3 Cr 3.49-3.83

Values from the calculation:
magnetization = 9.4 μB per cell
formation energy = 556 meV per atom

Record 13
The following is a PBE calculation of a relaxed structure of LiCu5Au4, from Alexandria.

Unit cell a=3.9410 b=5.4747 c=7.8892 alpha=116.97 beta=104.46 gamma=90.00
Last column: nearest neighbours and their distance in Å.
Positions (direct):
Cu 0.3040 0.2106 0.6080  5 Cu 2.65-2.89, 7 Au 2.70-2.84
Cu 0.5000 0.5000 0.0000  6 Cu 2.65-2.69, 2 Li 2.74, 4 Au 2.74
Cu 0.9000 0.5953 0.8001  6 Au 2.63-2.83, 4 Cu 2.69-2.75, 2 Li 2.82
Cu 0.6960 0.7894 0.3920  5 Cu 2.65-2.89, 7 Au 2.70-2.84
Au 0.6980 0.2924 0.3961  1 Li 2.68, 7 Cu 2.71-2.74, 4 Au 2.85-2.86
Li 0.5000 0.0000 0.0000  6 Au 2.68-2.70, 6 Cu 2.74-2.82
Cu 0.1000 0.4047 0.1999  6 Au 2.63-2.83, 4 Cu 2.69-2.75, 2 Li 2.82
Au 0.0946 0.8814 0.1891  8 Cu 2.63-2.84, 2 Li 2.70, 2 Au 2.85
Au 0.9054 0.1186 0.8109  8 Cu 2.63-2.84, 2 Li 2.70, 2 Au 2.85
Au 0.3020 0.7076 0.6039  1 Li 2.68, 7 Cu 2.71-2.74, 4 Au 2.85-2.86

Values from the calculation:
excess energy over the best structure of this formula in the dataset = 0 meV/atom
magnetization = 0.0 μB per cell
formation energy = -118 meV per atom

Record 14
The following is a PBE calculation of a relaxed structure of Cd2Ge2Ir, from Alexandria.

Unit cell a=6.4220 b=6.4220 c=4.6695 alpha=90.00 beta=90.00 gamma=90.00
Last column: nearest neighbours and their distance in Å.
Positions (direct):
Ir 0.0000 0.0000 0.0000  4 Ge 2.49
Ge 0.3619 0.8619 0.0000  2 Ir 2.49, 1 Ge 2.51
Cd 0.3193 0.1807 0.5000  6 Ge 2.86-3.12
Ge 0.8619 0.6381 0.0000  2 Ir 2.49, 1 Ge 2.51
Cd 0.1807 0.6807 0.5000  6 Ge 2.86-3.12
Cd 0.8193 0.3193 0.5000  6 Ge 2.86-3.12
Ge 0.6381 0.1381 0.0000  2 Ir 2.49, 1 Ge 2.51
Ir 0.5000 0.5000 0.0000  4 Ge 2.49
Ge 0.1381 0.3619 0.0000  2 Ir 2.49, 1 Ge 2.51
Cd 0.6807 0.8193 0.5000  6 Ge 2.86-3.12

Values from the calculation:
excess energy over the best structure of this formula in the dataset = 0 meV/atom
magnetization = 0.0 μB per cell
formation energy = 55 meV per atom

Record 15
The following is a PBE calculation of a relaxed structure of Fe2ReNiN, from Alexandria.

Unit cell a=3.7978 b=3.7978 c=3.9647 alpha=90.00 beta=90.00 gamma=90.00
Last column: nearest neighbours and their distance in Å.
Positions (direct):
Re 0.0000 0.0000 0.5000  2 N 1.98
Fe 0.5000 0.0000 0.0000  2 N 1.90
N 0.0000 0.0000 0.0000  4 Fe 1.90, 2 Re 1.98
Fe 0.0000 0.5000 0.0000  2 N 1.90
Ni 0.5000 0.5000 0.5000  4 Re 2.69, 8 Fe 2.75

Values from the calculation:
magnetization = 5.1 μB per cell
ΔE_f (raw) = 0.09 eV/atom